The following is a DFT calculation (GGA-PBE) of a relaxed structure of NpTl4Cl7.

## Properties
Space group: C2/m (12)
Formation energy from raw total energies in meV per atom: -1231
Total moment in μB per atom: 0.333
Fermi-level density of states in states/eV/f.u.: 7.3
Final energy in eV per atom: -4.18
Calculated volume in Å³ per cell: 422

Unit cell a=11.1636 b=11.1636 c=7.6314 alpha=107.25 beta=107.25 gamma=27.80
Closest atoms and distances in Å follow each position.
Element x y z (fractional)
Np 0.0000 0.0000 0.0000  6 Cl 2.68-2.73
Tl 0.3008 0.3008 0.7538  3 Cl 3.04-3.14
Tl 0.4133 0.4133 0.3643  1 Cl 2.89
Tl 0.5867 0.5867 0.6357  1 Cl 2.89
Tl 0.6992 0.6992 0.2462  3 Cl 3.04-3.14
Cl 0.0749 0.0749 0.3567  1 Np 2.71
Cl 0.1109 0.1109 0.9010  1 Np 2.73
Cl 0.2774 0.2774 0.3402  4 Tl 2.89-3.14
Cl 0.5000 0.5000 0.0000  2 Np 2.68
Cl 0.7226 0.7226 0.6598  4 Tl 2.89-3.14
Cl 0.8891 0.8891 0.0990  1 Np 2.73
Cl 0.9251 0.9251 0.6433  1 Np 2.71

---

The following is a DFT calculation (GGA-PBE) of a relaxed structure of NpTl3Cl7.

## Properties
Space group: C222_1 (20)
Formation energy from raw total energies in meV per atom: -1280
Total moment in μB per atom: 0.267
Fermi-level density of states in states/eV/f.u.: 11.4
Final energy in eV per atom: -4.28
Calculated volume in Å³ per cell: 796

Unit cell a=9.0478 b=9.0478 c=10.3897 alpha=90.00 beta=90.00 gamma=110.62
Closest atoms and distances in Å follow each position.
Element x y z (fractional)
Np 0.9998 0.9998 0.0000  6 Cl 2.56-2.71
Np 0.0002 0.0002 0.5000  6 Cl 2.56-2.71
Tl 0.0037 0.4666 0.2497  4 Cl 3.07-3.29
Tl 0.4666 0.0037 0.7503  4 Cl 3.07-3.29
Tl 0.5000 0.5000 0.0000  4 Cl 3.27-3.35
Tl 0.5000 0.5000 0.5000  4 Cl 3.27-3.35
Tl 0.5334 0.9963 0.2503  4 Cl 3.07-3.29
Tl 0.9963 0.5334 0.7497  4 Cl 3.07-3.29
Cl 0.0524 0.9476 0.7500  2 Np 2.71
Cl 0.0604 0.2958 0.9642  1 Np 2.56
Cl 0.0610 0.2964 0.5353  1 Np 2.56
Cl 0.2958 0.0604 0.0358  1 Np 2.56
Cl 0.2964 0.0610 0.4647  1 Np 2.56
Cl 0.3583 0.6417 0.7500  4 Tl 3.07-3.35
Cl 0.3660 0.6340 0.2500  4 Tl 3.09-3.27
Cl 0.6340 0.3660 0.7500  4 Tl 3.09-3.27
Cl 0.6417 0.3583 0.2500  4 Tl 3.07-3.35
Cl 0.7036 0.9390 0.9647  1 Np 2.56
Cl 0.7042 0.9396 0.5358  1 Np 2.56
Cl 0.9390 0.7036 0.0353  1 Np 2.56
Cl 0.9396 0.7042 0.4642  1 Np 2.56
Cl 0.9476 0.0524 0.2500  2 Np 2.71